This record from Alexandria via LeMat-Bulk describes a relaxed structure of Mo3WO. The functional is PBE+U.

Structure (POSCAR):
```
Mo3WO
1.0
-2.095 -3.011 -2.275
3.684 -2.196 -0.486
-0.819 -2.177 3.636
O Mo W
1 3 1
direct
0.000 0.000 0.000 O
0.000 0.500 0.000 Mo
0.500 0.000 0.000 Mo
0.000 0.000 0.500 Mo
0.500 0.500 0.500 W
```

Computed properties:
As for the uncorrected energy: -29.56 eV/cell. The value obtained for the total magnetization is 3.5 μB per cell. Its space group is Pm-3m, No. 221.